# Ba3SrOs | Alexandria via LeMat-Bulk | PBE | relaxed
# polymorph energy (0 for the lowest one)	1438.1	meV per atom
# energy of formation	9.18	eV/f.u.
# V	263.66	Å³/cell
# density of states at the Fermi level	6.02	states/eV per cell
# total magnetization	2.3	μB per formula unit
# calculated total energy	-9.499	eV/cell
data_Ba3SrOs
_chemical_formula_sum 'Ba3 Sr1 Os1'
_symmetry_space_group_name_H-M 'P 1'
_symmetry_Int_Tables_number 1
_symmetry_space_group_name_Hall 'P 1'
_cell_length_a 6.412
_cell_length_b 6.412
_cell_length_c 6.412
_cell_angle_alpha 90.00
_cell_angle_beta 90.00
_cell_angle_gamma 90.00
loop_
_atom_site_label
_atom_site_type_symbol
_atom_site_fract_x
_atom_site_fract_y
_atom_site_fract_z
_atom_site_occupancy
Ba1 Ba 0.000 0.000 0.500 1
Ba2 Ba 0.000 0.500 0.000 1
Ba3 Ba 0.500 0.000 0.000 1
Sr1 Sr 0.000 0.000 0.000 1
Os1 Os 0.500 0.500 0.500 1

=====

# FeSiPd | Alexandria via LeMat-Bulk | PBE | relaxed
# formation energy without anion corrections	-318.2	meV/atom
# V	77.62	Å³/cell
# density of states at the Fermi level	4.10	states/eV per cell
# total magnetization	2.2	μB per formula unit
# calculated total energy	-40.066	eV/cell
data_FeSiPd
_chemical_formula_sum 'Fe2 Si2 Pd2'
_symmetry_space_group_name_H-M 'P 1'
_symmetry_Int_Tables_number 1
_symmetry_space_group_name_Hall 'P 1'
_cell_length_a 2.816
_cell_length_b 4.636
_cell_length_c 6.640
_cell_angle_alpha 70.58
_cell_angle_beta 89.92
_cell_angle_gamma 72.73
loop_
_atom_site_label
_atom_site_type_symbol
_atom_site_fract_x
_atom_site_fract_y
_atom_site_fract_z
_atom_site_occupancy
Fe1 Fe 0.150 0.209 0.030 1
Fe2 Fe 0.850 0.791 0.970 1
Si1 Si 0.472 0.561 0.742 1
Si2 Si 0.528 0.439 0.258 1
Pd1 Pd 0.167 0.173 0.619 1
Pd2 Pd 0.833 0.827 0.381 1

=====

# TlRe2W | Alexandria via LeMat-Bulk | PBE | relaxed
# polymorph energy (0 for the lowest one)	246.3	meV per atom
# energy of formation	3.25	eV/f.u.
# V	67.27	Å³/cell
# density of states at the Fermi level	2.67	states/eV per cell
# total magnetization	0.0	μB per formula unit
# calculated total energy	-36.968	eV/cell
data_TlRe2W
_chemical_formula_sum 'Tl1 Re2 W1'
_symmetry_space_group_name_H-M 'P 1'
_symmetry_Int_Tables_number 1
_symmetry_space_group_name_Hall 'P 1'
_cell_length_a 5.409
_cell_length_b 5.409
_cell_length_c 5.409
_cell_angle_alpha 145.48
_cell_angle_beta 130.74
_cell_angle_gamma 61.54
loop_
_atom_site_label
_atom_site_type_symbol
_atom_site_fract_x
_atom_site_fract_y
_atom_site_fract_z
_atom_site_occupancy
Tl1 Tl 0.000 0.000 0.000 1
Re1 Re 0.258 0.758 0.500 1
Re2 Re 0.499 0.499 0.000 1
W1 W 0.738 0.238 0.500 1

=====

# AlHgAs | Alexandria via LeMat-Bulk | PBE | relaxed
# polymorph energy (0 for the lowest one)	112.2	meV per atom
# energy of formation	0.18	eV/f.u.
# V	67.23	Å³/cell
# total magnetization	0.0	μB per formula unit
# calculated total energy	-8.517	eV/cell
data_AlHgAs
_chemical_formula_sum 'Al1 Hg1 As1'
_symmetry_space_group_name_H-M 'P 1'
_symmetry_Int_Tables_number 1
_symmetry_space_group_name_Hall 'P 1'
_cell_length_a 4.564
_cell_length_b 4.564
_cell_length_c 4.564
_cell_angle_alpha 60.00
_cell_angle_beta 60.00
_cell_angle_gamma 60.00
loop_
_atom_site_label
_atom_site_type_symbol
_atom_site_fract_x
_atom_site_fract_y
_atom_site_fract_z
_atom_site_occupancy
Al1 Al 0.000 0.000 0.000 1
Hg1 Hg 0.750 0.750 0.750 1
As1 As 0.250 0.250 0.250 1

=====

# Li2CdTcSe | Alexandria via LeMat-Bulk | PBE | relaxed
# formation energy without anion corrections	325.7	meV/atom
# V	124.60	Å³/cell
# density of states at the Fermi level	3.27	states/eV per cell
# total magnetization	0.9	μB per formula unit
# calculated total energy	-16.965	eV/cell
data_Li2CdTcSe
_chemical_formula_sum 'Li2 Cd1 Tc1 Se1'
_symmetry_space_group_name_H-M 'P 1'
_symmetry_Int_Tables_number 1
_symmetry_space_group_name_Hall 'P 1'
_cell_length_a 5.204
_cell_length_b 5.204
_cell_length_c 4.602
_cell_angle_alpha 90.00
_cell_angle_beta 90.00
_cell_angle_gamma 90.00
loop_
_atom_site_label
_atom_site_type_symbol
_atom_site_fract_x
_atom_site_fract_y
_atom_site_fract_z
_atom_site_occupancy
Li1 Li 0.000 0.500 0.000 1
Li2 Li 0.500 0.000 0.000 1
Cd1 Cd 0.000 0.000 0.500 1
Tc1 Tc 0.500 0.500 0.000 1
Se1 Se 0.500 0.500 0.500 1

=====

# Cd13Au2 | Alexandria via LeMat-Bulk | PBE | relaxed
# polymorph energy (0 for the lowest one)	125.9	meV per atom
# energy of formation	1.39	eV/f.u.
# V	411.65	Å³/cell
# density of states at the Fermi level	5.92	states/eV per cell
# total magnetization	0.0	μB per formula unit
# calculated total energy	-17.061	eV/cell
data_Cd13Au2
_chemical_formula_sum 'Cd13 Au2'
_symmetry_space_group_name_H-M 'P 1'
_symmetry_Int_Tables_number 1
_symmetry_space_group_name_Hall 'P 1'
_cell_length_a 8.623
_cell_length_b 8.623
_cell_length_c 8.623
_cell_angle_alpha 56.02
_cell_angle_beta 56.02
_cell_angle_gamma 56.02
loop_
_atom_site_label
_atom_site_type_symbol
_atom_site_fract_x
_atom_site_fract_y
_atom_site_fract_z
_atom_site_occupancy
Cd1 Cd 0.000 0.000 0.000 1
Cd2 Cd 0.030 0.030 0.625 1
Cd3 Cd 0.030 0.625 0.030 1
Cd4 Cd 0.242 0.242 0.597 1
Cd5 Cd 0.242 0.597 0.242 1
Cd6 Cd 0.375 0.970 0.970 1
Cd7 Cd 0.403 0.758 0.758 1
Cd8 Cd 0.597 0.242 0.242 1
Cd9 Cd 0.625 0.030 0.030 1
Cd10 Cd 0.758 0.403 0.758 1
Cd11 Cd 0.758 0.758 0.403 1
Cd12 Cd 0.970 0.375 0.970 1
Cd13 Cd 0.970 0.970 0.375 1
Au1 Au 0.210 0.210 0.210 1
Au2 Au 0.790 0.790 0.790 1

=====

# SrLi5AcIn2 | Alexandria via LeMat-Bulk | PBE | relaxed
# energy of formation	-1.07	eV/f.u.
# V	238.43	Å³/cell
# density of states at the Fermi level	6.01	states/eV per cell
# total magnetization	0.0	μB per formula unit
# calculated total energy	-21.905	eV/cell
data_SrLi5AcIn2
_chemical_formula_sum 'Sr1 Li5 Ac1 In2'
_symmetry_space_group_name_H-M 'P 1'
_symmetry_Int_Tables_number 1
_symmetry_space_group_name_Hall 'P 1'
_cell_length_a 5.038
_cell_length_b 5.038
_cell_length_c 9.392
_cell_angle_alpha 90.00
_cell_angle_beta 90.00
_cell_angle_gamma 90.00
loop_
_atom_site_label
_atom_site_type_symbol
_atom_site_fract_x
_atom_site_fract_y
_atom_site_fract_z
_atom_site_occupancy
Sr1 Sr 0.000 0.000 0.000 1
Li1 Li 0.000 0.500 0.228 1
Li2 Li 0.000 0.500 0.772 1
Li3 Li 0.500 0.000 0.228 1
Li4 Li 0.500 0.000 0.772 1
Li5 Li 0.500 0.500 0.000 1
Ac1 Ac 0.000 0.000 0.500 1
In1 In 0.500 0.500 0.341 1
In2 In 0.500 0.500 0.659 1

=====

# Fe2NiPb | Alexandria via LeMat-Bulk | PBE | relaxed
# energy of formation	2.12	eV/f.u.
# V	64.40	Å³/cell
# density of states at the Fermi level	3.30	states/eV per cell
# total magnetization	6.0	μB per formula unit
# calculated total energy	-24.293	eV/cell
data_Fe2NiPb
_chemical_formula_sum 'Fe2 Ni1 Pb1'
_symmetry_space_group_name_H-M 'P 1'
_symmetry_Int_Tables_number 1
_symmetry_space_group_name_Hall 'P 1'
_cell_length_a 8.082
_cell_length_b 8.082
_cell_length_c 8.082
_cell_angle_alpha 21.90
_cell_angle_beta 21.90
_cell_angle_gamma 21.90
loop_
_atom_site_label
_atom_site_type_symbol
_atom_site_fract_x
_atom_site_fract_y
_atom_site_fract_z
_atom_site_occupancy
Fe1 Fe 0.000 0.000 0.000 1
Fe2 Fe 0.262 0.262 0.262 1
Ni1 Ni 0.739 0.739 0.739 1
Pb1 Pb 0.497 0.497 0.497 1

=====

# YZn4P | Alexandria via LeMat-Bulk | PBE | relaxed
# energy of formation	-0.25	eV/f.u.
# V	106.98	Å³/cell
# density of states at the Fermi level	2.37	states/eV per cell
# total magnetization	0.0	μB per formula unit
# calculated total energy	-17.224	eV/cell
data_YZn4P
_chemical_formula_sum 'Y1 Zn4 P1'
_symmetry_space_group_name_H-M 'P 1'
_symmetry_Int_Tables_number 1
_symmetry_space_group_name_Hall 'P 1'
_cell_length_a 5.329
_cell_length_b 5.329
_cell_length_c 5.329
_cell_angle_alpha 60.00
_cell_angle_beta 60.00
_cell_angle_gamma 60.00
loop_
_atom_site_label
_atom_site_type_symbol
_atom_site_fract_x
_atom_site_fract_y
_atom_site_fract_z
_atom_site_occupancy
Y1 Y 0.000 0.000 0.000 1
Zn1 Zn 0.125 0.625 0.625 1
Zn2 Zn 0.625 0.125 0.625 1
Zn3 Zn 0.625 0.625 0.125 1
Zn4 Zn 0.625 0.625 0.625 1
P1 P 0.250 0.250 0.250 1

=====

# CePd3 | Alexandria via LeMat-Bulk | PBE | relaxed
# energy of formation	-3.28	eV/f.u.
# V	72.08	Å³/cell
# density of states at the Fermi level	5.08	states/eV per cell
# total magnetization	0.5	μB per formula unit
# calculated total energy	-24.790	eV/cell
data_CePd3
_chemical_formula_sum 'Ce1 Pd3'
_symmetry_space_group_name_H-M 'P 1'
_symmetry_Int_Tables_number 1
_symmetry_space_group_name_Hall 'P 1'
_cell_length_a 4.162
_cell_length_b 4.162
_cell_length_c 4.162
_cell_angle_alpha 90.00
_cell_angle_beta 90.00
_cell_angle_gamma 90.00
loop_
_atom_site_label
_atom_site_type_symbol
_atom_site_fract_x
_atom_site_fract_y
_atom_site_fract_z
_atom_site_occupancy
Ce1 Ce 0.000 0.000 0.000 1
Pd1 Pd 0.000 0.500 0.500 1
Pd2 Pd 0.500 0.000 0.500 1
Pd3 Pd 0.500 0.500 0.000 1

=====

# NdDy2Hg5 | Alexandria via LeMat-Bulk | PBE | relaxed
# energy of formation	-3.54	eV/f.u.
# V	203.31	Å³/cell
# density of states at the Fermi level	3.69	states/eV per cell
# total magnetization	0.0	μB per formula unit
# calculated total energy	-19.021	eV/cell
data_NdDy2Hg5
_chemical_formula_sum 'Nd1 Dy2 Hg5'
_symmetry_space_group_name_H-M 'P 1'
_symmetry_Int_Tables_number 1
_symmetry_space_group_name_Hall 'P 1'
_cell_length_a 8.248
_cell_length_b 8.248
_cell_length_c 8.248
_cell_angle_alpha 142.85
_cell_angle_beta 142.85
_cell_angle_gamma 53.55
loop_
_atom_site_label
_atom_site_type_symbol
_atom_site_fract_x
_atom_site_fract_y
_atom_site_fract_z
_atom_site_occupancy
Nd1 Nd 0.000 0.000 0.000 1
Dy1 Dy 0.267 0.267 0.000 1
Dy2 Dy 0.733 0.733 0.000 1
Hg1 Hg 0.128 0.628 0.500 1
Hg2 Hg 0.372 0.872 0.500 1
Hg3 Hg 0.500 0.500 0.000 1
Hg4 Hg 0.628 0.128 0.500 1
Hg5 Hg 0.872 0.372 0.500 1

=====

# La2GdCu | Alexandria via LeMat-Bulk | PBE | relaxed
# polymorph energy (0 for the lowest one)	0.0	meV per atom
# energy of formation	-0.20	eV/f.u.
# V	119.42	Å³/cell
# density of states at the Fermi level	5.49	states/eV per cell
# total magnetization	8.1	μB per formula unit
# calculated total energy	-28.233	eV/cell
data_La2GdCu
_chemical_formula_sum 'La2 Gd1 Cu1'
_symmetry_space_group_name_H-M 'P 1'
_symmetry_Int_Tables_number 1
_symmetry_space_group_name_Hall 'P 1'
_cell_length_a 3.698
_cell_length_b 3.698
_cell_length_c 8.732
_cell_angle_alpha 90.00
_cell_angle_beta 90.00
_cell_angle_gamma 90.00
loop_
_atom_site_label
_atom_site_type_symbol
_atom_site_fract_x
_atom_site_fract_y
_atom_site_fract_z
_atom_site_occupancy
La1 La 0.000 0.000 0.202 1
La2 La 0.000 0.000 0.798 1
Gd1 Gd 0.500 0.500 0.500 1
Cu1 Cu 0.500 0.500 0.000 1

=====

Among the records above, which one has the highest V? Cd13Au2

=====

Which value of V does entry 4 give? 67.23 Å³/cell